Nd3Dy12Sc | GGA-PBE | optimized geometry

Output
space-group type	P4/mmm, No. 123
magnetization	0.00	μB/cell
crystal system	tetragonal

Unit cell a=5.0276 b=5.0276 c=20.0622 alpha=90.00 beta=90.00 gamma=90.00
Fractional coordinates of all 16 atoms:
Nd 0.0000 0.0000 0.2474
Dy 0.5000 0.0000 0.3732
Dy 0.5000 0.5000 0.5000
Nd 0.0000 0.0000 0.5000
Dy 0.5000 0.5000 0.2461
Nd 0.0000 0.0000 0.7526
Dy 0.5000 0.5000 0.0000
Dy 0.0000 0.5000 0.6268
Dy 0.0000 0.5000 0.8804
Dy 0.5000 0.0000 0.1196
Dy 0.5000 0.0000 0.8804
Sc 0.0000 0.0000 0.0000
Dy 0.5000 0.5000 0.7539
Dy 0.0000 0.5000 0.3732
Dy 0.5000 0.0000 0.6268
Dy 0.0000 0.5000 0.1196


Nd2Dy5Sc2 | GGA-PBE | optimized geometry

Output
space-group type	Ima2, No. 46
magnetization	0.00	μB/cell
crystal system	orthorhombic
energy relative to the lowest polymorph listed for this composition	1.91	eV/f.u.

Unit cell a=10.5266 b=6.5566 c=10.3468 alpha=108.47 beta=120.58 gamma=90.00
Fractional coordinates of all 18 atoms:
Dy 0.2071 0.1285 0.8910
Dy 0.7929 0.2375 0.1090
Nd 0.7684 0.9428 0.5000
Sc 0.5486 0.0328 0.1667
Dy 0.1311 0.9538 0.5000
Sc 0.8819 0.3661 0.8333
Nd 0.5000 0.4858 0.0000
Dy 0.1838 0.6285 0.8910
Dy 0.5337 0.1907 0.6925
Dy 0.8689 0.4538 0.5000
Dy 0.6588 0.6907 0.6925
Dy 0.4663 0.4982 0.3075
Nd 0.2316 0.4428 0.5000
Sc 0.1181 0.5328 0.1667
Nd 0.0000 0.9858 0.0000
Dy 0.8162 0.7375 0.1090
Sc 0.4514 0.8661 0.8333
Dy 0.3412 0.9982 0.3075


Nd3DySc | GGA-PBE | optimized geometry

Output
space-group type	Pbcm, No. 57
magnetization	0.00	μB/cell
crystal system	orthorhombic
energy relative to the lowest polymorph listed for this composition	0.39	eV/f.u.

Unit cell a=3.5387 b=10.7260 c=17.5020 alpha=90.00 beta=90.00 gamma=90.00
Fractional coordinates of all 20 atoms:
Nd 0.7522 0.5611 0.4230
Sc 0.7532 0.2500 0.2282
Nd 0.2478 0.4389 0.5770
Sc 0.7532 0.7500 0.2718
Nd 0.2478 0.9389 0.9230
Nd 0.2525 0.0000 0.2500
Nd 0.2478 0.5611 0.9230
Nd 0.7475 0.5000 0.7500
Nd 0.7475 0.0000 0.7500
Sc 0.2468 0.7500 0.7718
Dy 0.7462 0.2500 0.8960
Nd 0.7522 0.9389 0.4230
Nd 0.2525 0.5000 0.2500
Nd 0.2478 0.0611 0.5770
Sc 0.2468 0.2500 0.7282
Dy 0.7462 0.7500 0.6040
Nd 0.7522 0.4389 0.0770
Dy 0.2538 0.7500 0.1040
Dy 0.2538 0.2500 0.3960
Nd 0.7522 0.0611 0.0770


Nd9Dy2Sc | GGA-PBE | optimized geometry

Output
space-group type	P4/mmm, No. 123
magnetization	0.00	μB/cell
crystal system	tetragonal

Unit cell a=5.1216 b=5.1216 c=15.3754 alpha=90.00 beta=90.00 gamma=90.00
Fractional coordinates of all 12 atoms:
Dy 0.0000 0.0000 0.6689
Nd 0.5000 0.0000 0.5000
Nd 0.0000 0.5000 0.5000
Nd 0.5000 0.5000 0.3313
Nd 0.5000 0.5000 0.6687
Nd 0.5000 0.0000 0.8375
Nd 0.5000 0.5000 0.0000
Nd 0.0000 0.5000 0.1625
Sc 0.0000 0.0000 0.0000
Nd 0.0000 0.5000 0.8375
Dy 0.0000 0.0000 0.3311
Nd 0.5000 0.0000 0.1625


Formation energy list, top to bottom, in eV per atom: 0.027, 0.254, 0.155, 0.024